# 1
YSiF (PBE-GGA, optimized geometry); crystal system = monoclinic; SG = No. 12
1.0
-2.2884 2.8814 -0.8883
-4.8027 -1.5521 -0.7273
-3.7611 1.4628 6.3691
Si Y F
2 2 2
Direct
0.8172 0.4614 0.9041 Si
0.1828 0.5386 0.0959 Si
0.1557 0.9511 0.7375 Y
0.8443 0.0489 0.2625 Y
0.3555 0.8655 0.4236 F
0.6445 0.1345 0.5764 F

=====

# 2
Y3SiF (PBE-GGA, optimized geometry); crystal system = cubic; SG = No. 221
1.0
4.7444 0.0000 0.0000
0.0000 4.7444 0.0000
0.0000 0.0000 4.7444
Y F Si
3 1 1
Direct
0.0000 0.0000 0.5000 Y
0.5000 0.0000 0.0000 Y
0.0000 0.5000 0.0000 Y
0.0000 0.0000 0.0000 F
0.5000 0.5000 0.5000 Si

=====

# 3
YSi2F (PBE-GGA, optimized geometry); crystal system = cubic; SG = No. 225
1.0
-4.7125 -0.2837 0.3281
-2.7296 2.1647 -3.2030
-2.4412 -2.5585 -3.1449
Y Si F
1 2 1
Direct
0.5000 0.5000 0.5000 Y
0.2500 0.2500 0.2500 Si
0.7500 0.7500 0.7500 Si
0.0000 0.0000 0.0000 F

=====

# 4
Zn2SiF (PBE-GGA, optimized geometry); crystal system = tetragonal; SG = No. 122
1.0
-3.7205 -3.3044 -1.4671
2.5667 -3.8967 2.2675
-3.3487 -2.6205 5.2220
Si Zn F
2 4 2
Direct
0.7500 0.2500 0.5000 Si
0.0000 0.0000 0.0000 Si
0.8750 0.8438 0.7500 Zn
0.5938 0.1250 0.2500 Zn
0.1562 0.6250 0.2500 Zn
0.3750 0.4062 0.7500 Zn
0.2500 0.7500 0.5000 F
0.5000 0.5000 0.0000 F

=====

no.,magnetization (μB per formula unit),formation energy from raw total energies (meV/atom)
1,0.0,-1959
2,0.0,-935
3,0.0,-251
4,0.0,-433